Record 1
Compound: Sm12MgAl4N3
Source: the Alexandria database
Functional: PBE
Structure: optimized geometry

Output
* magnetic moment: 0.00 μB per formula unit
* DOS at the Fermi energy: 30.2 states/eV per cell
* calculated total energy: -212.82 eV/cell
* formation energy (no corrections): -9.50 kcal/mol of atoms

abc: 10.1226 10.1226 10.1226
angles: 90.00 90.00 90.00
Space group Im-3m (No. 229)
Symmetry-distinct sites (fractional):
Sm 0.0000 0.0000 0.2738 [12 per cell]
Sm 0.0000 0.2500 0.5000 [12 per cell]
Mg 0.0000 0.0000 0.0000 [2 per cell]
Al 0.2500 0.2500 0.2500 [8 per cell]
N 0.0000 0.0000 0.5000 [6 per cell]

Record 2
Compound: Y2ZrP
Source: the Alexandria database
Functional: PBE
Structure: optimized geometry

Output
* magnetic moment: 0.52 μB per formula unit
* DOS at the Fermi energy: 13.4 states/eV per cell
* calculated total energy: -87.07 eV/cell
* energy relative to the elements: -0.5342 eV/atom

abc: 3.6872 3.6872 26.7276
angles: 90.00 90.00 120.00
Space group R-3m (No. 166, hexagonal axes)
Symmetry-distinct sites (fractional):
Y 0.0000 0.0000 0.2309 [6 per cell]
Zr 0.0000 0.0000 0.0000 [3 per cell]
P 0.0000 0.0000 0.5000 [3 per cell]